A relaxed structure of Ti3Ni2Os. Source: the Alexandria database, functional PBE.

Unit cell a=3.0405 b=4.3122 c=6.8135 alpha=108.45 beta=90.00 gamma=90.00
Last column: nearest neighbours and their distance in Å.
Fractional coordinates of all 6 atoms:
Ti 0.5000 0.5000 0.0000  4 Ni 2.57, 4 Os 2.64
Ti 0.5000 0.8304 0.6609  6 Ni 2.64-2.67, 2 Os 2.67
Ni 0.0000 0.3398 0.6796  8 Ti 2.57-2.67
Ni 0.0000 0.6602 0.3204  8 Ti 2.57-2.67
Os 0.0000 0.0000 0.0000  8 Ti 2.64-2.67
Ti 0.5000 0.1696 0.3392  6 Ni 2.64-2.67, 2 Os 2.67

Output
magnetization	0.00	μB per formula unit
SG	Cmmm (65)
ΔH_f (0 K)	-464.1	meV/atom
VASP energy	-8.21	eV/atom

=====

A relaxed structure of TiNiOs2. Source: the Alexandria database, functional PBE.

Unit cell a=3.7565 b=3.7565 c=9.1653 alpha=78.17 beta=78.17 gamma=90.00
Last column: nearest neighbours and their distance in Å.
Fractional coordinates of all 8 atoms:
Os 0.0860 0.6250 0.2500  2 Os 2.46, 2 Ni 2.51, 2 Ti 2.62
Os 0.8750 0.9140 0.7500  2 Os 2.46, 2 Ni 2.51, 2 Ti 2.62
Os 0.3750 0.3360 0.7500  2 Os 2.46, 2 Ni 2.51, 2 Ti 2.62
Ti 0.5000 0.5000 0.0000  4 Os 2.62, 4 Ni 2.66
Ni 0.7500 0.2500 0.5000  4 Os 2.51, 4 Ti 2.66
Ni 0.0000 0.0000 0.0000  4 Os 2.51, 4 Ti 2.66
Os 0.6640 0.1250 0.2500  2 Os 2.46, 2 Ni 2.51, 2 Ti 2.62
Ti 0.2500 0.7500 0.5000  4 Os 2.62, 4 Ni 2.66

Output
magnetization	0.00	μB per formula unit
SG	I-42d (122)
ΔH_f (0 K)	366.5	meV/atom
VASP energy	-8.67	eV/atom

=====

A relaxed structure of Ti2NiOs. Source: the Alexandria database, functional PBE.

Unit cell a=6.7564 b=6.7564 c=5.4683 alpha=51.85 beta=51.85 gamma=90.00
Last column: nearest neighbours and their distance in Å.
Fractional coordinates of all 8 atoms:
Ni 0.2500 0.7500 0.5000  4 Ti 2.44, 2 Os 2.66
Ti 0.8750 0.8673 0.7500  2 Ni 2.44, 2 Os 2.52, 2 Ti 2.66
Ni 0.5000 0.5000 0.0000  4 Ti 2.44, 2 Os 2.66
Ti 0.1327 0.6250 0.2500  2 Ni 2.44, 2 Os 2.52, 2 Ti 2.66
Os 0.0000 0.0000 0.0000  4 Ti 2.52, 2 Ni 2.66
Os 0.7500 0.2500 0.5000  4 Ti 2.52, 2 Ni 2.66
Ti 0.3750 0.3827 0.7500  2 Ni 2.44, 2 Os 2.52, 2 Ti 2.66
Ti 0.6173 0.1250 0.2500  2 Ni 2.44, 2 Os 2.52, 2 Ti 2.66

Output
magnetization	0.00	μB per formula unit
SG	I-42d (122)
ΔH_f (0 K)	44.5	meV/atom
VASP energy	-8.16	eV/atom

=====

A relaxed structure of Ti2Ni2Os. Source: the Alexandria database, functional PBE.

Unit cell a=6.7031 b=6.7031 c=3.0294 alpha=90.00 beta=90.00 gamma=90.00
Last column: nearest neighbours and their distance in Å.
Fractional coordinates of all 10 atoms:
Ni 0.6225 0.1225 0.0000  1 Ni 2.32, 6 Ti 2.40-2.57
Ti 0.1811 0.6811 0.5000  6 Ni 2.40-2.57
Os 0.0000 0.0000 0.0000  4 Ni 2.66, 8 Ti 2.89
Ti 0.8189 0.3189 0.5000  6 Ni 2.40-2.57
Ni 0.3775 0.8775 0.0000  1 Ni 2.32, 6 Ti 2.40-2.57
Ti 0.3189 0.1811 0.5000  6 Ni 2.40-2.57
Ti 0.6811 0.8189 0.5000  6 Ni 2.40-2.57
Ni 0.8775 0.6225 0.0000  1 Ni 2.32, 6 Ti 2.40-2.57
Os 0.5000 0.5000 0.0000  4 Ni 2.66, 8 Ti 2.89
Ni 0.1225 0.3775 0.0000  1 Ni 2.32, 6 Ti 2.40-2.57

Output
magnetization	0.00	μB per formula unit
SG	P4/mbm (127)
ΔH_f (0 K)	-302.0	meV/atom
VASP energy	-8.02	eV/atom

=====

A relaxed structure of Ti2NiOs. Source: the Alexandria database, functional PBE.

Unit cell a=5.5221 b=5.5221 c=5.5221 alpha=57.95 beta=152.19 gamma=130.25
Last column: nearest neighbours and their distance in Å.
Fractional coordinates of all 4 atoms:
Ni 0.0000 0.0000 0.0000  2 Ti 2.31
Ti 0.0000 0.2395 0.2395  1 Ni 2.31, 1 Os 2.52
Os 0.0000 0.5000 0.5000  2 Ti 2.52, 2 Os 2.65, 4 Ni 2.68
Ti 0.0000 0.7605 0.7605  1 Ni 2.31, 1 Os 2.52

Output
magnetization	0.00	μB per formula unit
SG	Immm (71)
ΔH_f (0 K)	299.3	meV/atom
VASP energy	-7.90	eV/atom

=====

A relaxed structure of Ti2NiOs. Source: the Alexandria database, functional PBE.

Unit cell a=4.3504 b=5.3351 c=5.3351 alpha=112.40 beta=90.00 gamma=90.00
Last column: nearest neighbours and their distance in Å.
Fractional coordinates of all 8 atoms:
Ni 0.7500 0.6532 0.3468  8 Ti 2.53-2.81
Ti 0.2500 0.8610 0.6221  4 Ni 2.53-2.81, 4 Os 2.66-2.68
Os 0.2500 0.8743 0.1257  8 Ti 2.66-2.68, 4 Ni 2.93-2.98
Ti 0.2500 0.3779 0.1390  4 Ni 2.53-2.81, 4 Os 2.66-2.68
Ni 0.2500 0.3468 0.6532  8 Ti 2.53-2.81
Ti 0.7500 0.6221 0.8610  4 Ni 2.53-2.81, 4 Os 2.66-2.68
Os 0.7500 0.1257 0.8743  8 Ti 2.66-2.68, 4 Ni 2.93-2.98
Ti 0.7500 0.1390 0.3779  4 Ni 2.53-2.81, 4 Os 2.66-2.68

Output
magnetization	0.00	μB per formula unit
SG	Cmcm (63)
ΔH_f (0 K)	-537.7	meV/atom
VASP energy	-8.74	eV/atom

=====

A relaxed structure of Ti6Ni2Os. Source: the Alexandria database, functional PBE.

Unit cell a=7.1227 b=7.1227 c=7.1227 alpha=108.60 beta=111.24 gamma=108.59
Last column: nearest neighbours and their distance in Å.
Fractional coordinates of all 18 atoms:
Ti 0.5331 0.7185 0.8146  3 Ni 2.63-2.71, 1 Os 2.78, 2 Ti 2.94
Ti 0.8042 0.2473 0.0515  2 Ni 2.42-2.62, 2 Os 2.59-2.63
Os 0.0000 0.5000 0.5000  8 Ti 2.63-2.73
Ni 0.3548 0.0000 0.3548  1 Ni 2.34, 2 Ti 2.42
Ti 0.2762 0.5994 0.3233  3 Ni 2.40-2.64
Ti 0.1958 0.2473 0.4431  2 Ni 2.42-2.62, 2 Os 2.59-2.63
Ni 0.5000 0.6417 0.1417  1 Ni 2.36, 8 Ti 2.40-2.63
Ti 0.7238 0.4006 0.6767  3 Ni 2.40-2.64
Ti 0.4669 0.2815 0.1854  3 Ni 2.63-2.71, 1 Os 2.78, 2 Ti 2.94
Ti 0.7238 0.0471 0.3233  3 Ni 2.40-2.64
Ti 0.9039 0.7185 0.1854  3 Ni 2.63-2.71, 1 Os 2.78, 2 Ti 2.94
Ni 0.6452 0.0000 0.6452  1 Ni 2.34, 2 Ti 2.42
Ti 0.2762 0.9529 0.6767  3 Ni 2.40-2.64
Os 0.0000 0.0000 0.0000  8 Ti 2.59-2.78, 2 Ni 2.85
Ni 0.5000 0.3583 0.8583  1 Ni 2.36, 8 Ti 2.40-2.63
Ti 0.1958 0.7527 0.9485  2 Ni 2.42-2.62, 2 Os 2.59-2.63
Ti 0.8042 0.7527 0.5569  2 Ni 2.42-2.62, 2 Os 2.59-2.63
Ti 0.0961 0.2815 0.8146  3 Ni 2.63-2.71, 1 Os 2.78, 2 Ti 2.94

Output
magnetization	0.00	μB per formula unit
SG	Immm (71)
ΔH_f (0 K)	-320.1	meV/atom
VASP energy	-8.12	eV/atom

=====

A relaxed structure of Ti3Ni2Os. Source: the Alexandria database, functional PBE.

Unit cell a=3.0615 b=3.0615 c=9.0178 alpha=90.00 beta=90.00 gamma=90.00
Last column: nearest neighbours and their distance in Å.
Fractional coordinates of all 6 atoms:
Ti 0.0000 0.0000 0.6711  4 Ni 2.62, 4 Os 2.66
Os 0.5000 0.5000 0.5000  8 Ti 2.66
Ni 0.5000 0.5000 0.1644  8 Ti 2.62
Ti 0.0000 0.0000 0.0000  8 Ni 2.62
Ti 0.0000 0.0000 0.3289  4 Ni 2.62, 4 Os 2.66
Ni 0.5000 0.5000 0.8356  8 Ti 2.62

Output
magnetization	0.00	μB per formula unit
SG	P4/mmm (123)
ΔH_f (0 K)	-466.0	meV/atom
VASP energy	-8.21	eV/atom

=====

A relaxed structure of TmTiNiOs. Source: the Alexandria database, functional PBE.

Unit cell a=4.5332 b=4.5332 c=4.5332 alpha=60.00 beta=60.00 gamma=60.00
Last column: nearest neighbours and their distance in Å.
Fractional coordinates of all 4 atoms:
Tm 0.7500 0.7500 0.7500  4 Os 2.78, 4 Ni 2.78
Ti 0.2500 0.2500 0.2500  4 Ni 2.78, 4 Os 2.78
Ni 0.0000 0.0000 0.0000  4 Ti 2.78, 4 Tm 2.78
Os 0.5000 0.5000 0.5000  4 Tm 2.78, 4 Ti 2.78

Output
magnetization	0.00	μB per formula unit
SG	F-43m (216)
ΔH_f (0 K)	-351.4	meV/atom
VASP energy	-7.70	eV/atom

=====

A relaxed structure of ZrTiNiOs2. Source: the Alexandria database, functional PBE.

Unit cell a=4.7677 b=4.7102 c=4.7677 alpha=90.00 beta=90.00 gamma=90.00
Last column: nearest neighbours and their distance in Å.
Fractional coordinates of all 5 atoms:
Os 0.5000 0.0000 0.0000  2 Zr 2.38
Os 0.0000 0.0000 0.5000  2 Zr 2.38
Zr 0.0000 0.0000 0.0000  2 Ti 2.36, 4 Os 2.38
Ni 0.5000 0.5000 0.5000  8 Os 3.35, 4 Ti 3.37
Ti 0.0000 0.5000 0.0000  2 Zr 2.36

Output
magnetization	0.88	μB per formula unit
SG	P4/mmm (123)
ΔH_f (0 K)	2153.6	meV/atom
VASP energy	-6.78	eV/atom

=====

A relaxed structure of Zr2TiNiOs. Source: the Alexandria database, functional PBE.

Unit cell a=4.8751 b=4.0821 c=4.8751 alpha=90.00 beta=90.00 gamma=90.00
Last column: nearest neighbours and their distance in Å.
Fractional coordinates of all 5 atoms:
Zr 0.5000 0.0000 0.0000  2 Ti 2.44
Ni 0.0000 0.5000 0.0000  2 Ti 2.04
Ti 0.0000 0.0000 0.0000  2 Ni 2.04
Os 0.5000 0.5000 0.5000  8 Zr 3.18, 4 Ni 3.45
Zr 0.0000 0.0000 0.5000  2 Ti 2.44

Output
magnetization	0.00	μB per formula unit
SG	P4/mmm (123)
ΔH_f (0 K)	1078.9	meV/atom
VASP energy	-7.32	eV/atom

=====

A relaxed structure of TlNi2Os. Source: the Alexandria database, functional PBE.

Unit cell a=4.3846 b=4.3846 c=4.3846 alpha=60.00 beta=60.00 gamma=60.00
Last column: nearest neighbours and their distance in Å.
Fractional coordinates of all 4 atoms:
Ni 0.0000 0.0000 0.0000  4 Ni 2.69, 4 Tl 2.69
Tl 0.2500 0.2500 0.2500  4 Os 2.69, 4 Ni 2.69
Os 0.5000 0.5000 0.5000  4 Tl 2.69, 4 Ni 2.69
Ni 0.7500 0.7500 0.7500  4 Ni 2.69, 4 Os 2.69

Output
magnetization	2.10	μB per formula unit
ΔE to the lowest computed polymorph	260	meV per atom
SG	F-43m (216)
ΔH_f (0 K)	687.5	meV/atom
VASP energy	-5.60	eV/atom

=====

Q: The lowest VASP energy belongs to which entry?
A: number 6

=====

Q: Among the records above, which one has the lowest ΔH_f (0 K)?
A: number 6